1.
Below is LiMn2Cl after structural relaxation, with properties calculated at the GGA-PBE level.

abc: 4.5141 4.5141 4.5141
angles: 60.00 60.00 60.00
Closest atoms and distances in Å follow each position.
Atoms (fractional coordinates):
Cl (0.5000, 0.5000, 0.5000)  4 Mn 2.76, 4 Li 2.76
Li (0.7500, 0.7500, 0.7500)  4 Mn 2.76, 4 Cl 2.76
Mn (0.0000, 0.0000, 0.0000)  4 Li 2.76, 4 Mn 2.76
Mn (0.2500, 0.2500, 0.2500)  4 Cl 2.76, 4 Mn 2.76

Values from the calculation:
Relative energy among the computed polymorphs (eV/f.u.): 2.517
Raw formation energy (eV/atom): 0.43

2.
Below is Cd3Ga2Ge3O12 after structural relaxation, with properties calculated at the GGA-PBE level.

abc: 10.7365 10.7365 10.7365
angles: 109.47 109.47 109.47
Closest atoms and distances in Å follow each position.
Atoms (fractional coordinates):
O (0.6020, 0.1833, 0.4830)  1 Ge 1.79
O (0.0813, 0.8810, 0.3980)  1 Ge 1.79
O (0.3167, 0.8980, 0.0170)  1 Ge 1.79
O (0.4187, 0.1020, 0.6190)  1 Ge 1.79
O (0.6020, 0.9187, 0.1190)  1 Ge 1.79
O (0.6190, 0.4187, 0.1020)  1 Ge 1.79
O (0.1190, 0.6020, 0.9187)  1 Ge 1.79
O (0.8810, 0.9830, 0.7996)  1 Ge 1.79
O (0.2004, 0.5813, 0.1833)  1 Ge 1.79
O (0.2996, 0.3167, 0.9187)  1 Ge 1.79
O (0.9830, 0.6833, 0.1020)  1 Ge 1.79
O (0.9187, 0.2996, 0.3167)  1 Ge 1.79
O (0.1833, 0.2004, 0.5813)  1 Ge 1.79
O (0.1020, 0.9830, 0.6833)  1 Ge 1.79
O (0.9187, 0.1190, 0.6020)  1 Ge 1.79
O (0.2004, 0.1190, 0.0170)  1 Ge 1.79
O (0.7996, 0.8810, 0.9830)  1 Ge 1.79
O (0.6190, 0.7004, 0.5170)  1 Ge 1.79
O (0.6833, 0.1020, 0.9830)  1 Ge 1.79
O (0.5170, 0.6190, 0.7004)  1 Ge 1.79
O (0.4830, 0.3810, 0.2996)  1 Ge 1.79
O (0.2996, 0.4830, 0.3810)  1 Ge 1.79
O (0.7004, 0.5170, 0.6190)  1 Ge 1.79
O (0.0170, 0.3167, 0.8980)  1 Ge 1.79
O (0.3980, 0.0813, 0.8810)  1 Ge 1.79
O (0.3167, 0.9187, 0.2996)  1 Ge 1.79
O (0.3810, 0.2996, 0.4830)  1 Ge 1.79
O (0.6833, 0.0813, 0.7004)  1 Ge 1.79
O (0.1833, 0.4830, 0.6020)  1 Ge 1.79
O (0.0813, 0.7004, 0.6833)  1 Ge 1.79
O (0.8167, 0.7996, 0.4187)  1 Ge 1.79
O (0.8980, 0.3810, 0.5813)  1 Ge 1.79
O (0.4187, 0.8167, 0.7996)  1 Ge 1.79
O (0.9830, 0.7996, 0.8810)  1 Ge 1.79
O (0.7996, 0.4187, 0.8167)  1 Ge 1.79
O (0.5813, 0.1833, 0.2004)  1 Ge 1.79
O (0.7004, 0.6833, 0.0813)  1 Ge 1.79
O (0.1020, 0.6190, 0.4187)  1 Ge 1.79
O (0.3980, 0.8167, 0.5170)  1 Ge 1.79
O (0.3810, 0.5813, 0.8980)  1 Ge 1.79
O (0.5170, 0.3980, 0.8167)  1 Ge 1.79
O (0.8167, 0.5170, 0.3980)  1 Ge 1.79
O (0.0170, 0.2004, 0.1190)  1 Ge 1.79
O (0.8980, 0.0170, 0.3167)  1 Ge 1.79
O (0.1190, 0.0170, 0.2004)  1 Ge 1.79
O (0.4830, 0.6020, 0.1833)  1 Ge 1.79
O (0.5813, 0.8980, 0.3810)  1 Ge 1.79
O (0.8810, 0.3980, 0.0813)  1 Ge 1.79
Cd (0.8750, 0.7500, 0.6250)  8 O 2.38-2.54
Cd (0.3750, 0.1250, 0.2500)  8 O 2.38-2.54
Cd (0.6250, 0.8750, 0.7500)  8 O 2.38-2.54
Cd (0.6250, 0.2500, 0.8750)  8 O 2.38-2.54
Cd (0.2500, 0.8750, 0.6250)  8 O 2.38-2.54
Cd (0.3750, 0.7500, 0.1250)  8 O 2.38-2.54
Cd (0.2500, 0.3750, 0.1250)  8 O 2.38-2.54
Cd (0.1250, 0.2500, 0.3750)  8 O 2.38-2.54
Cd (0.7500, 0.1250, 0.3750)  8 O 2.38-2.54
Cd (0.8750, 0.6250, 0.2500)  8 O 2.38-2.54
Cd (0.1250, 0.3750, 0.7500)  8 O 2.38-2.54
Cd (0.7500, 0.6250, 0.8750)  8 O 2.38-2.54
Ge (0.2500, 0.1250, 0.8750)  4 O 1.79
Ge (0.2500, 0.6250, 0.3750)  4 O 1.79
Ge (0.8750, 0.2500, 0.1250)  4 O 1.79
Ge (0.6250, 0.3750, 0.2500)  4 O 1.79
Ge (0.3750, 0.2500, 0.6250)  4 O 1.79
Ge (0.8750, 0.1250, 0.7500)  4 O 1.79
Ge (0.7500, 0.8750, 0.1250)  4 O 1.79
Ge (0.1250, 0.8750, 0.2500)  4 O 1.79
Ge (0.6250, 0.7500, 0.3750)  4 O 1.79
Ge (0.1250, 0.7500, 0.8750)  4 O 1.79
Ge (0.7500, 0.3750, 0.6250)  4 O 1.79
Ge (0.3750, 0.6250, 0.7500)  4 O 1.79
Ga (0.0000, 0.0000, 0.0000)  6 O 2.01
Ga (0.0000, 0.0000, 0.5000)  6 O 2.01
Ga (0.5000, 0.0000, 0.0000)  6 O 2.01
Ga (0.0000, 0.5000, 0.5000)  6 O 2.01
Ga (0.0000, 0.5000, 0.0000)  6 O 2.01
Ga (0.5000, 0.5000, 0.5000)  6 O 2.01
Ga (0.5000, 0.5000, 0.0000)  6 O 2.01
Ga (0.5000, 0.0000, 0.5000)  6 O 2.01

Values from the calculation:
Raw formation energy (eV/atom): -1.56

3.
Below is KAlZnF6 after structural relaxation, with properties calculated at the GGA-PBE level.

abc: 7.1526 7.1498 7.1658
angles: 119.93 119.94 90.00
Closest atoms and distances in Å follow each position.
Atoms (fractional coordinates):
F (0.4427, 0.6537, 0.2471)  1 Al 1.82
F (0.5381, 0.2881, 0.0761)  2 Al 1.83
F (0.1955, 0.9066, 0.7529)  1 Al 1.82
F (0.1955, 0.3463, 0.7529)  1 Al 1.82
F (0.4427, 0.0934, 0.2471)  1 Al 1.82
F (0.4619, 0.7119, 0.9239)  2 Al 1.83
F (0.1590, 0.9090, 0.3179)  2 Zn 2.01
F (0.5573, 0.9066, 0.7529)  1 Al 1.82
F (0.8045, 0.6537, 0.2471)  1 Al 1.82
F (0.8045, 0.0934, 0.2471)  1 Al 1.82
F (0.5573, 0.3463, 0.7529)  1 Al 1.82
F (0.8410, 0.0910, 0.6821)  2 Zn 2.01
Al (0.5000, 0.5000, 0.0000)  6 F 1.82-1.83
Al (0.5000, 0.0000, 0.0000)  6 F 1.82-1.83
K (0.1196, 0.3696, 0.2392)  5 F 2.83-3.04
K (0.8804, 0.6304, 0.7608)  5 F 2.83-3.04
Zn (0.5000, 0.0000, 0.5000)  6 F 2.01-2.09
Zn (0.0000, 0.0000, 0.5000)  6 F 2.01-2.09

Values from the calculation:
Raw formation energy (eV/atom): -3.02

4.
Below is La2InSnH after structural relaxation, with properties calculated at the GGA-PBE level.

abc: 5.0242 5.0242 4.7671
angles: 90.00 90.00 90.00
Closest atoms and distances in Å follow each position.
Atoms (fractional coordinates):
Sn (0.5000, 0.5000, 0.5000)  8 La 3.46, 4 In 3.55
La (0.5000, 0.0000, 0.0000)  2 H 2.51
La (0.0000, 0.5000, 0.0000)  2 H 2.51
In (0.0000, 0.0000, 0.5000)  2 H 2.38
H (0.0000, 0.0000, 0.0000)  2 In 2.38, 4 La 2.51

Values from the calculation:
Relative energy among the computed polymorphs (eV/f.u.): 0.000

5.
Below is Ac2PmDy2 after structural relaxation, with properties calculated at the GGA-PBE level.

abc: 12.5214 6.3881 8.5123
angles: 111.79 136.88 90.27
Closest atoms and distances in Å follow each position.
Atoms (fractional coordinates):
Pm (0.0838, 0.3336, 0.1680)  4 Dy 3.26-3.59, 2 Pm 3.59, 2 Ac 3.59
Pm (0.9162, 0.6664, 0.8320)  4 Dy 3.26-3.59, 2 Pm 3.59, 2 Ac 3.59
Ac (0.3704, 0.1058, 0.2394)  4 Dy 3.56-3.98, 1 Pm 3.59, 3 Ac 3.94-3.95
Ac (0.8686, 0.6332, 0.2393)  3 Dy 3.56-3.71, 1 Pm 3.59, 3 Ac 3.95
Ac (0.1314, 0.3668, 0.7607)  3 Dy 3.56-3.71, 1 Pm 3.59, 3 Ac 3.95
Ac (0.6296, 0.8942, 0.7606)  4 Dy 3.56-3.98, 1 Pm 3.59, 3 Ac 3.94-3.95
Dy (0.4194, 0.6683, 0.8383)  4 Dy 3.20-3.58, 1 Pm 3.26, 2 Ac 3.56
Dy (0.2516, 0.0002, 0.5033)  2 Dy 3.20-3.58, 2 Pm 3.27-3.58
Dy (0.5806, 0.3317, 0.1617)  4 Dy 3.20-3.58, 1 Pm 3.26, 2 Ac 3.56
Dy (0.7484, 0.9998, 0.4967)  2 Dy 3.20-3.58, 2 Pm 3.27-3.58

Values from the calculation:
Energy of formation from the pure elements (eV/f.u.): 1.1

6.
Below is Nd2ZnCu5Ni2 after structural relaxation, with properties calculated at the GGA-PBE level.

abc: 3.7904 9.2355 9.2355
angles: 90.00 90.00 90.00
Closest atoms and distances in Å follow each position.
Atoms (fractional coordinates):
Cu (0.5000, 0.0537, 0.7966)  2 Ni 2.60, 2 Zn 2.71, 3 Cu 2.75-2.78
Cu (0.5000, 0.2966, 0.5537)  2 Ni 2.60, 2 Zn 2.71, 3 Cu 2.75-2.78
Cu (0.5000, 0.0000, 0.5000)  4 Ni 2.41
Cu (0.5000, 0.7034, 0.4463)  2 Ni 2.60, 2 Zn 2.71, 3 Cu 2.75-2.78
Cu (0.5000, 0.7966, 0.9463)  2 Ni 2.60, 2 Zn 2.71, 3 Cu 2.75-2.78
Cu (0.5000, 0.9463, 0.2034)  2 Ni 2.60, 2 Zn 2.71, 3 Cu 2.75-2.78
Cu (0.5000, 0.4463, 0.2966)  2 Ni 2.60, 2 Zn 2.71, 3 Cu 2.75-2.78
Cu (0.5000, 0.5000, 0.0000)  4 Ni 2.41
Cu (0.5000, 0.5537, 0.7034)  2 Ni 2.60, 2 Zn 2.71, 3 Cu 2.75-2.78
Cu (0.5000, 0.2034, 0.0537)  2 Ni 2.60, 2 Zn 2.71, 3 Cu 2.75-2.78
Ni (0.0000, 0.8859, 0.3859)  6 Cu 2.41-2.60, 1 Nd 2.64
Ni (0.0000, 0.6141, 0.8859)  6 Cu 2.41-2.60, 1 Nd 2.64
Ni (0.0000, 0.3859, 0.1141)  6 Cu 2.41-2.60, 1 Nd 2.64
Ni (0.0000, 0.1141, 0.6141)  6 Cu 2.41-2.60, 1 Nd 2.64
Nd (0.0000, 0.3164, 0.8164)  3 Ni 2.64-2.82
Nd (0.0000, 0.8164, 0.6836)  3 Ni 2.64-2.82
Nd (0.0000, 0.6836, 0.1836)  3 Ni 2.64-2.82
Nd (0.0000, 0.1836, 0.3164)  3 Ni 2.64-2.82
Zn (0.0000, 0.0000, 0.0000)  8 Cu 2.71
Zn (0.0000, 0.5000, 0.5000)  8 Cu 2.71

Values from the calculation:
Energy of formation from the pure elements (eV/f.u.): -1.2